The following is a PBE-GGA calculation of crystalline Sc3BeB at its relaxed geometry, from Alexandria via LeMat-Bulk.

Unit cell a=4.611 b=4.611 c=4.611 alpha=90.00 beta=90.00 gamma=90.00
Sites, in units of the cell vectors:
Sc: 0.000 0.500 0.000
Sc: 0.000 0.000 0.500
Sc: 0.500 0.000 0.000
Be: 0.500 0.500 0.500
B: 0.000 0.000 0.000

Values from the calculation:
The space group is Pm-3m (221). Its energy of formation from the pure elements is 53 kJ/mol of formula units. The calculation puts the polymorph energy (0 for the lowest one) at 0.0 meV/atom. Its total energy is -28.85 eV per cell.